DFT (PBE) results for a relaxed CaVAg crystal.

```
CaVAg
1.0
0.000 3.460 3.460
3.460 0.000 3.460
3.460 3.460 0.000
Ca Ag V
1 1 1
Cartesian
0.000 0.000 0.000
5.190 5.190 5.190
1.730 1.730 1.730
```

Values from the calculation:
The value obtained for the magnetization is 1.435 μB/atom. Its energy of formation from the pure elements is 1.014 eV per atom.


DFT (PBE) results for a relaxed CaVAg crystal.

```
CaVAg
1.0
8.415 0.000 0.000
0.000 3.248 0.000
0.000 0.000 9.482
V Ca Ag
4 4 4
Cartesian
3.511 2.436 9.032
4.905 0.812 0.450
0.697 0.812 4.291
7.718 2.436 5.191
7.725 2.436 1.678
3.517 2.436 3.063
4.898 0.812 6.419
0.691 0.812 7.804
6.512 2.436 8.326
1.903 0.812 1.157
6.111 0.812 3.584
2.305 2.436 5.898
```

Values from the calculation:
The value obtained for the magnetization is 0.000 μB/atom. Its energy of formation from the pure elements is 0.278 eV per atom.


DFT (PBE) results for a relaxed CaVAg crystal.

```
CaVAg
1.0
-2.774 1.393 -1.276
0.540 -1.588 -2.907
-6.027 -8.681 3.623
V Ca Ag
2 2 2
Cartesian
-3.138 0.389 -1.168
-1.948 -1.773 -1.704
-4.826 -2.044 -0.153
-6.285 -8.023 0.905
-4.282 -5.139 -0.298
-6.828 -4.928 1.052
```

Values from the calculation:
The value obtained for the magnetization is 0.000 μB/atom. Its energy of formation from the pure elements is 0.177 eV per atom.


DFT (PBE) results for a relaxed CaVAg crystal.

```
CaVAg
1.0
-1.500 2.588 -5.127
-2.001 -2.482 -0.157
-3.868 4.766 3.749
Ca Ag V
2 2 2
Cartesian
-3.479 2.960 -0.354
-6.269 4.541 -2.013
-4.450 5.640 0.930
-2.245 0.060 -0.562
-3.277 1.263 -3.006
-3.078 4.113 -3.307
```

Values from the calculation:
The value obtained for the magnetization is 0.000 μB/atom. Its energy of formation from the pure elements is 0.276 eV per atom.


DFT (PBE) results for a relaxed CaVAg crystal.

```
CaVAg
1.0
-3.615 -1.363 2.874
-3.477 3.128 1.144
-4.430 -0.558 -1.803
Ag Ca V
1 1 1
Cartesian
-8.641 0.905 1.662
-2.880 0.302 0.554
-5.760 0.603 1.108
```

Values from the calculation:
The value obtained for the magnetization is 1.387 μB/atom. Its energy of formation from the pure elements is 0.813 eV per atom.


DFT (PBE) results for a relaxed CaVAg crystal.

```
CaVAg
1.0
5.819 0.125 0.005
0.432 3.073 0.000
-2.680 1.473 7.126
Ca V Ag
2 2 2
Cartesian
3.173 3.033 5.313
0.045 1.424 3.661
5.149 2.798 0.930
1.179 3.258 0.917
0.267 2.959 6.519
2.951 1.497 2.455
```

Values from the calculation:
The value obtained for the magnetization is 0.000 μB/atom. Its energy of formation from the pure elements is 0.267 eV per atom.


DFT (PBE) results for a relaxed CaVAg2 crystal.

```
CaVAg2
1.0
0.000 3.482 3.482
3.482 0.000 3.482
3.482 3.482 0.000
Ag Ca V
2 1 1
Cartesian
5.224 5.224 5.224
1.741 1.741 1.741
0.000 0.000 0.000
3.482 3.482 3.482
```

Values from the calculation:
The value obtained for the magnetization is 0.910 μB/atom. Its energy of formation from the pure elements is 0.230 eV per atom.


DFT (PBE) results for a relaxed CaVAg crystal.

```
CaVAg
1.0
-1.381 4.486 -1.231
-2.437 -3.839 -1.692
-7.158 0.385 9.434
Ca V Ag
2 2 2
Cartesian
-5.369 0.289 7.076
-1.790 0.096 2.359
0.000 0.000 0.000
-3.579 0.193 4.717
-3.875 -0.968 0.820
-7.102 2.000 5.691
```

Values from the calculation:
The value obtained for the magnetization is 1.438 μB/atom. Its energy of formation from the pure elements is 1.655 eV per atom.


DFT (PBE) results for a relaxed CaV2Ag crystal.

```
CaV2Ag
1.0
-3.707 -1.765 0.857
1.132 -0.428 4.016
-5.212 8.164 4.530
V Ca Ag
4 2 2
Cartesian
-4.337 0.476 2.368
-7.032 4.533 4.575
-5.137 5.400 4.295
-3.908 0.196 4.408
-1.288 -1.097 2.436
-2.684 3.319 5.491
-5.104 2.651 3.911
0.000 0.000 0.000
```

Values from the calculation:
The value obtained for the magnetization is 0.000 μB/atom. Its energy of formation from the pure elements is 0.800 eV per atom.


DFT (PBE) results for a relaxed CaV2Ag crystal.

```
CaV2Ag
1.0
0.000 3.438 3.438
3.438 0.000 3.438
3.438 3.438 0.000
V Ca Ag
2 1 1
Cartesian
5.157 5.157 5.157
1.719 1.719 1.719
0.000 0.000 0.000
3.438 3.438 3.438
```

Values from the calculation:
The value obtained for the magnetization is 1.751 μB/atom. Its energy of formation from the pure elements is 0.847 eV per atom.


DFT (PBE) results for a relaxed CaVAg crystal.

```
CaVAg
1.0
6.007 0.000 0.004
0.000 5.135 0.000
-3.010 2.568 4.185
Ca V Ag
2 2 2
Cartesian
1.764 4.327 3.279
1.767 1.759 1.077
-1.239 3.043 2.176
-1.239 5.610 2.176
0.267 4.327 0.084
3.270 4.327 0.086
```

Values from the calculation:
The value obtained for the magnetization is 0.750 μB/atom. Its energy of formation from the pure elements is 0.251 eV per atom.


DFT (PBE) results for a relaxed CaVAg2 crystal.

```
CaVAg2
1.0
-2.564 2.649 2.585
-2.287 -3.607 1.426
3.829 -1.556 9.313
Ag Ca V
4 2 2
Cartesian
-1.521 -2.238 10.587
-0.627 -2.483 3.376
-1.097 0.986 4.289
1.200 -1.293 8.397
-2.426 -0.479 2.006
-0.442 -2.821 6.372
-0.581 0.307 6.952
0.000 0.000 0.000
```

Values from the calculation:
The value obtained for the magnetization is 0.996 μB/atom. Its energy of formation from the pure elements is 0.599 eV per atom.